(1)
Here is a geometry-optimized BaZnGa2C structure from Alexandria via LeMat-Bulk. Energies are from PBE-GGA.

Cell lengths 6.376, 6.376, 6.371 Å; angles 90.00, 90.00, 90.00 degrees
Space group P4/mmm (No. 123)
One atom of each set of equivalent atoms:
1 Ba 0.000 0.000 0.000 x1
2 Zn 0.000 0.000 0.500 x1
3 Ga 0.000 0.500 0.000 x2
4 C 0.500 0.500 0.500 x1

Calculated values
- V (Å³ per cell) = 259.04
- crystal system = tetragonal
- energy of formation (eV per formula unit) = 10.8
- mass density (Mg/m³) = 2.3

(2)
Here is a geometry-optimized PaAs2Ir structure from Alexandria via LeMat-Bulk. Energies are from PBE-GGA.

Cell lengths 3.0163, 3.0163, 29.1751 Å; angles 90.00, 90.00, 120.00 degrees
Space group R-3m (No. 166, hexagonal axes)
One atom of each set of equivalent atoms:
1 Pa 0.0000 0.0000 0.0000 x3
2 As 0.0000 0.0000 0.4183 x6
3 Ir 0.0000 0.0000 0.5000 x3

Calculated values
- V (Å³ per cell) = 229.88
- crystal system = trigonal
- energy of formation (eV per formula unit) = 0.0
- mass density (Mg/m³) = 12.4

(3)
Here is a geometry-optimized BaLiAs2Rh structure from Alexandria via LeMat-Bulk. Energies are from PBE-GGA.

Cell lengths 4.326, 4.326, 11.619 Å; angles 90.00, 90.00, 90.00 degrees
Space group I-4m2 (No. 119)
One atom of each set of equivalent atoms:
1 Ba 0.000 0.000 0.000 x2
2 Li 0.000 0.500 0.750 x2
3 As 0.000 0.000 0.357 x4
4 Rh 0.000 0.500 0.250 x2

Calculated values
- V (Å³ per cell) = 217.48
- crystal system = tetragonal
- energy of formation (eV per formula unit) = -3.9
- mass density (Mg/m³) = 6.1

(4)
Here is a geometry-optimized RbTlOs2 structure from Alexandria via LeMat-Bulk. Energies are from PBE-GGA.

Cell lengths 4.796, 4.796, 19.822 Å; angles 90.00, 90.00, 90.00 degrees
Space group I-42d (No. 122)
One atom of each set of equivalent atoms:
1 Rb 0.000 0.000 0.000 x4
2 Tl 0.000 0.000 0.500 x4
3 Os 0.048 0.250 0.625 x8

Calculated values
- V (Å³ per cell) = 455.86
- crystal system = tetragonal
- energy of formation (eV per formula unit) = 5.5
- mass density (Mg/m³) = 9.8
- excess energy over the best structure of this formula in the dataset (meV per atom) = 0